(1)
Compound: KNbSb2
Source: Alexandria
Functional: PBE
Structure: optimized geometry

energy relative to the lowest polymorph listed for this composition	0.485	eV per atom
V	100.2	Å³ per cell
theoretical density	6.23	g/cm³
formation energy without anion corrections	271.6	meV per atom
total magnetic moment	1.729	μB/cell

abc: 5.213 5.213 5.213
angles: 60.00 60.00 60.00
Site moments in Bohr magnetons follow the coordinates.
Fractional positions:
Sb1 0.250 0.250 0.250  -0.05
Sb2 0.750 0.750 0.750  -0.05
Nb1 0.500 0.500 0.500  1.44
K1 0.000 0.000 0.000  0.01

=====

(2)
Compound: KNbSb
Source: Alexandria
Functional: PBE
Structure: optimized geometry

V	175.8	Å³ per cell
theoretical density	4.80	g/cm³
formation energy without anion corrections	-202.8	meV per atom
total magnetic moment	0.001	μB/cell

abc: 4.272 4.272 9.632
angles: 90.00 90.00 90.00
Fractional positions:
Nb1 0.000 0.000 0.000
Nb2 0.500 0.500 0.000
K1 0.000 0.500 0.355
K2 0.500 0.000 0.645
Sb1 0.000 0.500 0.801
Sb2 0.500 0.000 0.199

=====

(3)
Compound: KNbSb2
Source: Alexandria
Functional: PBE
Structure: optimized geometry

energy relative to the lowest polymorph listed for this composition	0.000	eV per atom
V	106.2	Å³ per cell
theoretical density	5.87	g/cm³
formation energy without anion corrections	-213.3	meV per atom
total magnetic moment	0.503	μB/cell

abc: 3.499 3.499 8.674
angles: 90.00 90.00 90.00
Site moments in Bohr magnetons follow the coordinates.
Fractional positions:
Sb1 0.000 0.000 0.811  0.00
Sb2 0.000 0.000 0.189  0.00
Nb1 0.500 0.500 0.000  0.37
K1 0.500 0.500 0.500  0.00

=====

(4)
Compound: K2NbSb
Source: Alexandria
Functional: PBE
Structure: optimized geometry

V	460.2	Å³ per cell
theoretical density	2.11	g/cm³
formation energy without anion corrections	547.5	meV per atom
total magnetic moment	7.248	μB/cell

abc: 12.984 12.984 9.578
angles: 47.33 47.33 90.00
Site moments in Bohr magnetons follow the coordinates.
Fractional positions:
Sb1 0.000 0.000 0.000  -0.10
Sb2 0.750 0.250 0.500  -0.10
Nb1 0.500 0.500 0.000  2.54
Nb2 0.250 0.750 0.500  2.54
K1 0.800 0.125 0.250  0.01
K2 0.950 0.625 0.250  0.01
K3 0.375 0.200 0.750  0.01
K4 0.875 0.050 0.750  0.01

=====

(5)
Compound: KNb2Sb2
Source: Alexandria
Functional: PBE
Structure: optimized geometry

energy relative to the lowest polymorph listed for this composition	0.000	eV per atom
V	133.1	Å³ per cell
theoretical density	5.84	g/cm³
formation energy without anion corrections	-149.3	meV per atom
total magnetic moment	0.000	μB/cell

abc: 4.250 4.250 7.961
angles: 74.52 74.52 90.00
Fractional positions:
Sb1 0.378 0.378 0.245
Sb2 0.622 0.622 0.755
Nb1 0.750 0.250 0.500
Nb2 0.250 0.750 0.500
K1 0.000 0.000 0.000

=====

(6)
Compound: K2ScNbSb
Source: Alexandria
Functional: PBE
Structure: optimized geometry

V	228.1	Å³ per cell
theoretical density	2.46	g/cm³
formation energy without anion corrections	993.7	meV per atom
total magnetic moment	4.993	μB/cell

abc: 6.454 5.476 6.454
angles: 90.00 90.00 90.00
Site moments in Bohr magnetons follow the coordinates.
Fractional positions:
Sc1 0.000 0.500 0.000  0.20
Sb1 0.000 0.000 0.000  0.01
Nb1 0.500 0.500 0.500  3.09
K1 0.000 0.000 0.500  0.01
K2 0.500 0.000 0.000  0.01

=====

(7)
Compound: KNb2SnSb
Source: Alexandria
Functional: PBE
Structure: optimized geometry

V	129.4	Å³ per cell
theoretical density	5.97	g/cm³
formation energy without anion corrections	2250.2	meV per atom
total magnetic moment	1.316	μB/cell

abc: 4.844 5.515 4.844
angles: 90.00 90.00 90.00
Site moments in Bohr magnetons follow the coordinates.
Fractional positions:
K1 0.000 0.000 0.000  0.07
Sb1 0.500 0.500 0.500  0.00
Nb1 0.000 0.000 0.500  0.53
Nb2 0.500 0.000 0.000  0.54
Sn1 0.000 0.500 0.000  -0.02

=====

(8)
Compound: KNbSb2Te
Source: Alexandria
Functional: PBE
Structure: optimized geometry

energy relative to the lowest polymorph listed for this composition	0.813	eV per atom
V	188.5	Å³ per cell
theoretical density	4.43	g/cm³
formation energy without anion corrections	694.8	meV per atom
total magnetic moment	2.243	μB/cell

abc: 5.971 5.287 5.971
angles: 90.00 90.00 90.00
Site moments in Bohr magnetons follow the coordinates.
Fractional positions:
Sb1 0.000 0.000 0.500  -0.13
Sb2 0.500 0.000 0.000  -0.16
Nb1 0.000 0.500 0.000  2.26
Te1 0.000 0.000 0.000  -0.06
K1 0.500 0.500 0.500  0.00